The following is a DFT calculation (PBE-GGA) of a geometry-optimized Sr2MnCr structure.

Cell and atoms, written as POSCAR:
```
Sr2MnCr
1.0
1.950 1.126 10.187
-1.950 1.126 10.187
0.000 -2.252 10.187
Sr Mn Cr
2 1 1
Cartesian
0.000 0.000 7.499
0.000 0.000 23.063
0.000 0.000 15.281
0.000 0.000 0.000
```

Output
E above lowest polymorph: 1.94 eV per formula unit
Magnetic moment: 1.33 μB/cell
DFT formation energy: 0.9611 eV per atom
DOS(E_F): 0.8420 states/eV/atom

=====

The following is a DFT calculation (PBE-GGA) of a geometry-optimized YTaCo2 structure.

Cell and atoms, written as POSCAR:
```
YTaCo2
1.0
2.079 1.200 4.790
-2.079 1.200 4.790
0.000 -2.401 4.790
Y Ta Co
1 1 2
Cartesian
0.000 0.000 0.000
0.000 0.000 7.185
0.000 0.000 2.971
0.000 0.000 11.399
```

Output
Magnetic moment: 0.00 μB/cell
DFT formation energy: -0.0902 eV per atom
DOS(E_F): 1.3374 states/eV/atom

=====

The following is a DFT calculation (PBE-GGA) of a geometry-optimized HfNbS2 structure.

Cell and atoms, written as POSCAR:
```
HfNbS2
1.0
1.632 0.942 8.405
-1.632 0.942 8.405
0.000 -1.885 8.405
Hf Nb S
1 1 2
Cartesian
0.000 0.000 0.000
0.000 0.000 12.607
0.000 0.000 2.540
0.000 0.000 22.673
```

Output
E above lowest polymorph: 1.39 eV per formula unit
Magnetic moment: 0.80 μB/cell
E_form (uncorrected): -698 meV per atom
DOS(E_F): 0.8105 states/eV/atom

=====

Number 1: mass density 3.49 g/cm3. Number 2: mass density 8.98 g/cm3. Number 3: mass density 7.18 g/cm3.